No. 1
Material: La2Al3Cu
Method: DFT, GGA-PBE
State: optimized geometry

Lattice parameters (Å, degrees): 6.052 6.052 9.156 112.22 112.22 81.70
Fractional coordinates of all 12 atoms:
1 La 0.750 0.250 0.500
2 La 0.740 0.260 0.000
3 La 0.250 0.750 0.500
4 La 0.260 0.740 0.000
5 Al 0.834 0.834 0.170
6 Al 0.664 0.664 0.830
7 Al 0.166 0.166 0.830
8 Al 0.336 0.336 0.170
9 Al 0.168 0.168 0.337
10 Al 0.832 0.832 0.663
11 Cu 0.668 0.668 0.336
12 Cu 0.332 0.332 0.664

Calculated values
D(E_F)	0.90	states/eV/atom

No. 2
Material: LaAl8Cu4
Method: DFT, GGA-PBE
State: optimized geometry

Lattice parameters (Å, degrees): 5.170 6.824 6.824 81.75 67.74 67.74
Fractional coordinates of all 13 atoms:
1 La 0.000 0.000 0.000
2 Al 0.000 0.350 0.650
3 Al 0.000 0.650 0.350
4 Al 0.350 0.650 0.650
5 Al 0.650 0.350 0.350
6 Al 0.500 0.778 0.222
7 Al 0.500 0.222 0.778
8 Al 0.278 0.222 0.222
9 Al 0.722 0.778 0.778
10 Cu 0.000 0.000 0.500
11 Cu 0.500 0.000 0.500
12 Cu 0.000 0.500 0.000
13 Cu 0.500 0.500 0.000

Calculated values
D(E_F)	0.28	states/eV/atom

No. 3
Material: LaAl2Cu
Method: DFT, GGA-PBE
State: optimized geometry

Lattice parameters (Å, degrees): 4.208 4.208 6.145 69.98 69.98 59.99
Fractional coordinates of all 4 atoms:
1 Al 0.956 0.956 0.132
2 Al 0.544 0.544 0.368
3 Cu 0.250 0.250 0.250
4 La 0.750 0.750 0.750

Calculated values
D(E_F)	0.60	states/eV/atom

No. 4
Material: La2AlCu2
Method: DFT, GGA-PBE
State: optimized geometry

Lattice parameters (Å, degrees): 5.743 5.743 5.520 58.65 58.65 90.00
Fractional coordinates of all 5 atoms:
1 Al 0.000 0.000 0.000
2 Cu 0.346 0.346 0.308
3 Cu 0.654 0.654 0.692
4 La 0.750 0.250 0.500
5 La 0.250 0.750 0.500

Calculated values
D(E_F)	0.99	states/eV/atom

No. 5
Material: La2Al2Cu15
Method: DFT, GGA-PBE
State: optimized geometry

Lattice parameters (Å, degrees): 6.600 6.600 6.600 82.58 82.58 82.58
Fractional coordinates of all 19 atoms:
1 La 0.352 0.352 0.352
2 La 0.648 0.648 0.648
3 Al 0.103 0.103 0.103
4 Al 0.897 0.897 0.897
5 Cu 0.500 0.000 0.000
6 Cu 0.000 0.000 0.500
7 Cu 0.000 0.500 0.000
8 Cu 0.000 0.709 0.291
9 Cu 0.709 0.291 0.000
10 Cu 0.291 0.000 0.709
11 Cu 0.291 0.709 0.000
12 Cu 0.709 0.000 0.291
13 Cu 0.000 0.291 0.709
14 Cu 0.147 0.656 0.656
15 Cu 0.656 0.656 0.147
16 Cu 0.656 0.147 0.656
17 Cu 0.853 0.344 0.344
18 Cu 0.344 0.344 0.853
19 Cu 0.344 0.853 0.344

Calculated values
D(E_F)	0.68	states/eV/atom

No. 6
Material: La3AlCu
Method: DFT, GGA-PBE
State: optimized geometry

Lattice parameters (Å, degrees): 5.512 5.512 5.512 90.00 90.00 90.00
Fractional coordinates of all 5 atoms:
1 Al 0.500 0.500 0.500
2 Cu 0.000 0.000 0.000
3 La 0.000 0.500 0.000
4 La 0.000 0.000 0.500
5 La 0.500 0.000 0.000

Calculated values
D(E_F)	2.31	states/eV/atom

no.,total magnetic moment (μB per formula unit),energy relative to the elements (eV per formula unit)
1,0.0,-2.3
2,0.0,-4.1
3,0.0,-1.5
4,0.0,-0.5
5,0.0,-2.8
6,0.0,0.8